Record 1
The following is a DFT calculation (PBE-GGA) of an optimized crystal structure of TaOsSeBr2.

Results
ΔE_f (raw) = 1.1741 eV per atom
excess energy over the best structure of this formula in the dataset = 143 meV/atom
size of the total moment = 4.0 μB per formula unit
calculated total energy = -24.04 eV per cell

Lattice parameters (Å, degrees): 5.143 5.143 5.020 90.00 90.00 90.00
Positions (direct):
Ta 0.000 0.000 0.000
Os 0.500 0.500 0.500
Se 0.000 0.000 0.500
Br 0.000 0.500 0.000
Br 0.500 0.000 0.000

Record 2
The following is a DFT calculation (PBE-GGA) of an optimized crystal structure of LaPa2Re.

Results
formation energy from the elements = 0.269 eV per atom
excess energy over the best structure of this formula in the dataset = 145 meV/atom
size of the total moment = 0.0 μB per formula unit
calculated total energy = -35.29 eV per cell

Lattice parameters (Å, degrees): 5.707 5.707 5.707 48.45 48.45 48.45
Positions (direct):
La 0.000 0.000 0.000
Pa 0.240 0.240 0.240
Pa 0.760 0.760 0.760
Re 0.500 0.500 0.500

Record 3
The following is a DFT calculation (PBE-GGA) of an optimized crystal structure of CdH8Rh4.

Results
excess energy over the best structure of this formula in the dataset = 0 meV/atom
size of the total moment = 0.0 μB per formula unit
calculated total energy = -57.38 eV per cell

Lattice parameters (Å, degrees): 4.926 5.621 5.644 119.82 92.81 99.50
Positions (direct):
Cd 0.000 0.000 0.000
H 0.309 0.803 0.393
H 0.324 0.302 0.875
H 0.330 0.304 0.415
H 0.339 0.769 0.878
H 0.661 0.231 0.122
H 0.670 0.696 0.585
H 0.676 0.698 0.125
H 0.691 0.197 0.607
Rh 0.465 0.493 0.245
Rh 0.496 0.000 0.749
Rh 0.504 0.000 0.251
Rh 0.535 0.507 0.755

Record 4
The following is a DFT calculation (PBE-GGA) of an optimized crystal structure of NaHfNi2Cl.

Results
ΔE_f (raw) = 0.2395 eV per atom
excess energy over the best structure of this formula in the dataset = 0 meV/atom
size of the total moment = 0.0 μB per formula unit
calculated total energy = -23.48 eV per cell

Lattice parameters (Å, degrees): 4.777 4.777 5.045 90.00 90.00 90.00
Positions (direct):
Na 0.000 0.000 0.000
Hf 0.500 0.500 0.500
Ni 0.000 0.500 0.500
Ni 0.500 0.000 0.500
Cl 0.500 0.500 0.000

Record 5
The following is a DFT calculation (PBE-GGA) of an optimized crystal structure of ReH2PbI.

Results
size of the total moment = 3.1 μB per formula unit
calculated total energy = -19.61 eV per cell

Lattice parameters (Å, degrees): 4.270 4.270 5.706 90.00 90.00 90.00
Positions (direct):
Re 0.000 0.000 0.000
H 0.000 0.500 0.000
H 0.500 0.000 0.000
Pb 0.000 0.000 0.500
I 0.500 0.500 0.500

Record 6
The following is a DFT calculation (PBE-GGA) of an optimized crystal structure of ZnTe.

Results
ΔE_f (raw) = -0.1583 eV per atom
size of the total moment = 0.0 μB per formula unit
calculated total energy = -9.46 eV per cell

Lattice parameters (Å, degrees): 7.612 7.612 3.920 90.00 90.00 150.54
Positions (direct):
Zn 0.182 0.818 0.750
Zn 0.818 0.182 0.250
Te 0.369 0.631 0.750
Te 0.631 0.369 0.250

Record 7
The following is a DFT calculation (PBE-GGA) of an optimized crystal structure of OsBr3F.

Results
ΔE_f (raw) = 1.3998 eV per atom
excess energy over the best structure of this formula in the dataset = 1684 meV/atom
size of the total moment = 4.5 μB per formula unit
calculated total energy = -11.12 eV per cell

Lattice parameters (Å, degrees): 4.894 4.894 4.894 90.00 90.00 90.00
Positions (direct):
Os 0.000 0.000 0.000
Br 0.000 0.500 0.500
Br 0.500 0.000 0.500
Br 0.500 0.500 0.000
F 0.500 0.500 0.500

Record 8
The following is a DFT calculation (PBE-GGA) of an optimized crystal structure of Zn2GaRh.

Results
formation energy from the elements = -0.348 eV per atom
size of the total moment = 0.0 μB per formula unit
calculated total energy = -28.64 eV per cell

Lattice parameters (Å, degrees): 5.223 4.206 5.364 90.00 98.55 90.00
Positions (direct):
Zn 0.105 0.250 0.167
Zn 0.378 0.750 0.962
Zn 0.622 0.250 0.038
Zn 0.895 0.750 0.833
Ga 0.324 0.750 0.452
Ga 0.676 0.250 0.548
Rh 0.195 0.250 0.680
Rh 0.805 0.750 0.320